Entry from Alexandria: crystalline Ca4TeAsBr2 at its relaxed geometry (PBE).

extended XYZ file:
```
8
Lattice="7.473 0.000 0.000 0.000 4.386 0.000 -2.617 0.000 7.222" Properties=species:S:1:pos:R:3 pbc="T T T"
Ca 1.055 0.000 1.604
Ca -0.286 2.193 5.522
Ca 5.143 2.193 1.700
Ca 3.801 0.000 5.618
Te -1.308 0.000 3.611
As 0.000 2.193 0.000
Br 3.737 0.000 0.000
Br 2.428 2.193 3.611
```

Properties
Space group: P2/m (10)
VASP energy in eV/atom: -3.893
Magnetic moment in μB per atom: 0.00